No. 1
## PmAl2Ru2C (PBE)

Data for a relaxed PmAl2Ru2C crystal.

Values from the calculation:
energy relative to the elements	-42	kJ/mol of atoms
spin magnetization	0.0	μB/cell
space-group type	No. 123
uncorrected energy	-7.11	eV per atom

Unit cell a=4.1194 b=4.1194 c=5.6576 alpha=90.00 beta=90.00 gamma=90.00
Element x y z (fractional)
1 Pm 0.0000 0.0000 0.5000
2 Ru 0.0000 0.5000 0.0000
3 Ru 0.5000 0.0000 0.0000
4 Al 0.5000 0.5000 0.2705
5 Al 0.5000 0.5000 0.7295
6 C 0.0000 0.0000 0.0000

=====

No. 2
## LaTa2Cu (PBE)

Data for a relaxed LaTa2Cu crystal.

Values from the calculation:
energy relative to the elements	24	kJ/mol of atoms
spin magnetization	0.0	μB/cell
space-group type	No. 6
uncorrected energy	-7.93	eV per atom

Unit cell a=3.6122 b=3.0489 c=8.1626 alpha=67.97 beta=90.00 gamma=90.00
Element x y z (fractional)
1 Ta 0.0000 0.9459 0.0541
2 Ta 0.5000 0.2367 0.2633
3 Cu 0.0000 0.5561 0.4439
4 La 0.5000 0.7612 0.7387

=====

No. 3
## Pu5Ge2Pt (PBE)

Data for a relaxed Pu5Ge2Pt crystal.

Values from the calculation:
energy relative to the elements	-38	kJ/mol of atoms
spin magnetization	33.9	μB/cell
space-group type	No. 55
uncorrected energy	-11.26	eV per atom

Unit cell a=4.8346 b=6.1527 c=12.4635 alpha=90.00 beta=90.00 gamma=90.00
Last column: magnetic moment on the atom in μB.
Element x y z (fractional)
1 Pu 0.0000 0.6206 0.2375  -5.45
2 Pu 0.5000 0.3466 0.1072  -5.29
3 Pu 0.0000 0.8794 0.7375  -5.45
4 Pu 0.5000 0.1534 0.6072  -5.29
5 Pu 0.5000 0.8466 0.3928  -5.29
6 Pu 0.5000 0.6534 0.8928  -5.29
7 Pu 0.0000 0.3794 0.7625  -5.45
8 Pu 0.0000 0.1206 0.2625  -5.45
9 Pu 0.0000 0.0000 0.0000  5.13
10 Pu 0.0000 0.5000 0.5000  5.13
11 Ge 0.5000 0.8682 0.1453  0.10
12 Ge 0.5000 0.6318 0.6453  0.10
13 Ge 0.5000 0.3682 0.3547  0.10
14 Ge 0.5000 0.1318 0.8547  0.10
15 Pt 0.0000 0.5000 0.0000  0.00
16 Pt 0.0000 0.0000 0.5000  0.00

=====

No. 4
## K4BaSi3O9 (PBE)

Data for a relaxed K4BaSi3O9 crystal.

Values from the calculation:
spin magnetization	0.0	μB/cell
space-group type	No. 40
uncorrected energy	-6.47	eV per atom

Unit cell a=7.3461 b=7.3461 c=11.2753 alpha=90.00 beta=90.00 gamma=111.73
Element x y z (fractional)
1 K 0.7745 0.3334 0.2500
2 K 0.6666 0.2255 0.7500
3 K 0.2451 0.2323 0.2500
4 K 0.0432 0.9568 0.0000
5 K 0.5080 0.4920 0.0000
6 K 0.0432 0.9568 0.5000
7 K 0.5080 0.4920 0.5000
8 K 0.7677 0.7549 0.7500
9 Ba 0.2626 0.7341 0.7500
10 Ba 0.2659 0.7374 0.2500
11 Si 0.9787 0.4101 0.5282
12 Si 0.1885 0.2602 0.7500
13 Si 0.5899 0.0213 0.0282
14 Si 0.7398 0.8115 0.2500
15 Si 0.9787 0.4101 0.9718
16 Si 0.5899 0.0213 0.4718
17 O 0.4008 0.0471 0.0884
18 O 0.1112 0.4417 0.4096
19 O 0.1590 0.0320 0.7500
20 O 0.5583 0.8888 0.5904
21 O 0.7003 0.9328 0.3681
22 O 0.9529 0.5992 0.5884
23 O 0.5770 0.5901 0.2500
24 O 0.7504 0.2496 0.0000
25 O 0.7003 0.9328 0.1319
26 O 0.4008 0.0471 0.4116
27 O 0.4099 0.4230 0.7500
28 O 0.7504 0.2496 0.5000
29 O 0.0672 0.2997 0.8681
30 O 0.5583 0.8888 0.9096
31 O 0.9680 0.8410 0.2500
32 O 0.9529 0.5992 0.9116
33 O 0.1112 0.4417 0.0904
34 O 0.0672 0.2997 0.6319